[1]
This record from Alexandria via LeMat-Bulk describes a relaxed Cu2Si4Rh crystal. The functional is PBE-GGA.

Summary:
The value obtained for the formation energy from raw total energies is -0.092 eV per atom. Its space-group type is No. 12. As for the size of the total moment: 0.00 μB/cell.

a b c (Å): 3.7405 3.7405 8.7517
angles (deg): 77.46 77.46 61.16
Atoms (fractional coordinates):
Si (0.6964, 0.6964, 0.9199)
Si (0.1155, 0.1155, 0.6378)
Si (0.8845, 0.8845, 0.3622)
Si (0.3036, 0.3036, 0.0801)
Rh (0.5000, 0.5000, 0.5000)
Cu (0.6003, 0.6003, 0.2000)
Cu (0.3997, 0.3997, 0.8000)


[2]
This record from Alexandria via LeMat-Bulk describes a relaxed Pa4CN5 crystal. The functional is PBE-GGA.

Summary:
The value obtained for the formation energy from raw total energies is -1.360 eV per atom. Its space-group type is No. 71. As for the size of the total moment: 0.00 μB/cell.

a b c (Å): 3.6115 6.4897 7.5254
angles (deg): 115.54 103.88 90.00
Atoms (fractional coordinates):
Pa (0.0000, 0.2603, 0.0000)
Pa (0.2858, 0.7858, 0.5716)
Pa (0.0000, 0.7397, 0.0000)
Pa (0.7142, 0.2142, 0.4284)
N (0.1717, 0.3921, 0.3435)
N (0.1717, 0.9514, 0.3435)
N (0.8283, 0.6079, 0.6565)
N (0.8283, 0.0486, 0.6565)
N (0.5000, 0.5000, 0.0000)
C (0.5000, 0.0000, 0.0000)


Q: Look up the formation energy from raw total energies of the first one.
A: -0.092 eV per atom